(1)
A relaxed Ca2HfMoRh crystal. Source: the Alexandria database, functional PBE.

Computed properties:
Magnetic moment: 0.75 μB/atom
ΔH_f (0 K): 0.71 eV/atom

Lattice parameters (Å, degrees): 5.3497 5.3497 4.9795 90.00 90.00 90.00
Space group P4/mmm (No. 123)
Symmetry-distinct sites (fractional):
Ca: 0.0000 0.5000 0.0000
Hf: 0.0000 0.0000 0.5000
Mo: 0.5000 0.5000 0.5000
Rh: 0.0000 0.0000 0.0000

(2)
A relaxed Nd2Ga5Ru crystal. Source: the Alexandria database, functional PBE.

Computed properties:
Magnetic moment: 0.00 μB/atom
ΔH_f (0 K): -0.46 eV/atom

Lattice parameters (Å, degrees): 6.1737 6.1737 9.0226 90.00 90.00 90.00
Space group I4mm (No. 107)
Symmetry-distinct sites (fractional):
Nd: 0.0000 0.5000 0.0000
Ga: 0.0000 0.0000 0.0249
Ga: 0.2151 0.2151 0.2472
Ru: 0.0000 0.0000 0.7548